# PrBN2 | Alexandria | GGA-PBE | optimized geometry
data_PrBN2
_space_group_name_H-M_alt 'R -3 m'
_space_group_IT_number 166
_space_group_name_Hall '-R 3 2"'
_cell_length_a 3.8718
_cell_length_b 3.8718
_cell_length_c 15.1923
_cell_angle_alpha 90.00
_cell_angle_beta 90.00
_cell_angle_gamma 120.00
loop_
_atom_site_label
_atom_site_type_symbol
_atom_site_fract_x
_atom_site_fract_y
_atom_site_fract_z
_atom_site_occupancy
Pr1 Pr 0.0000 0.0000 0.0000 1
B1 B 0.0000 0.0000 0.5000 1
N1 N 0.0000 0.0000 0.4115 1
# D(E_F), states/eV/f.u.: 0.0
# Energy above the most stable polymorph in this dataset, meV/atom: 84
# ΔE_f (raw), eV/atom: -1.231
# VASP energy, eV per atom: -8.258

***

# Ca2MgBe | Alexandria | GGA-PBE | optimized geometry
data_Ca2MgBe
_space_group_name_H-M_alt 'P 1 m 1'
_space_group_IT_number 6
_space_group_name_Hall 'P -2y'
_cell_length_a 4.174
_cell_length_b 4.579
_cell_length_c 6.238
_cell_angle_alpha 90.00
_cell_angle_beta 109.30
_cell_angle_gamma 90.00
loop_
_atom_site_label
_atom_site_type_symbol
_atom_site_fract_x
_atom_site_fract_y
_atom_site_fract_z
_atom_site_occupancy
Ca1 Ca 0.000 0.000 0.000 1
Ca2 Ca 0.300 0.500 0.602 1
Mg1 Mg 0.596 0.500 0.192 1
Be1 Be 0.712 0.000 0.429 1
# D(E_F), states/eV/f.u.: 3.3
# Energy above the most stable polymorph in this dataset, meV/atom: 52
# VASP energy, eV per atom: -2.114
# Energy relative to the elements, eV per atom: 0.22

***

For each record above, in turn, the calculated spin magnetization values are 0.0, 0.0 μB per cell.